DFT (PBE-GGA) results for a relaxed structure of Tb2Hg9Pb.

Values from the calculation:
Fermi-level density of states in states/eV/cell: 7.6
Formation enthalpy at 0 K in eV per atom: -0.216
Total energy in eV per formula unit: -18.281
Crystal system: tetragonal

Unit cell a=4.6116 b=4.6116 c=14.3003 alpha=90.00 beta=90.00 gamma=90.00
Sites, in units of the cell vectors:
Hg: 0.5000 0.5000 0.0000
Hg: 0.0000 0.5000 0.1762
Hg: 0.5000 0.0000 0.1762
Hg: 0.5000 0.5000 0.3441
Hg: 0.0000 0.5000 0.8238
Hg: 0.5000 0.0000 0.8238
Hg: 0.0000 0.5000 0.5000
Hg: 0.5000 0.5000 0.6559
Hg: 0.5000 0.0000 0.5000
Pb: 0.0000 0.0000 0.0000
Tb: 0.0000 0.0000 0.3302
Tb: 0.0000 0.0000 0.6698



DFT (PBE-GGA) results for a relaxed structure of TbHg2Pb.

Values from the calculation:
Fermi-level density of states in states/eV/cell: 2.1
Formation enthalpy at 0 K in eV per atom: -0.284
Total energy in eV per formula unit: -10.076
Crystal system: tetragonal

Unit cell a=3.7265 b=3.7265 c=7.6790 alpha=90.00 beta=90.00 gamma=90.00
Sites, in units of the cell vectors:
Hg: 0.0000 0.0000 0.7622
Hg: 0.0000 0.0000 0.2378
Pb: 0.5000 0.5000 0.5000
Tb: 0.5000 0.5000 0.0000



What is the formula in the first record? Tb2Hg9Pb



What is the total energy in the first record? -18.281 eV per formula unit



The highest total energy belongs to which entry? TbHg2Pb